## K2ZrH (GGA-PBE)

Data for K2ZrH after structural relaxation.

Structure (POSCAR):
```
K2ZrH
1.0
0.000 4.325 4.325
4.325 0.000 4.325
4.325 4.325 0.000
K Zr H
2 1 1
direct
0.250 0.250 0.250
0.750 0.750 0.750
0.000 0.000 0.000
0.500 0.500 0.500
```

Output
Uncorrected energy in eV per atom: -2.2059
Energy above the lowest structure with this stoichiometry in eV per atom: 0.648
Total moment in μB/atom: 0.75
SG: Fm-3m